1.
The following is a PBE calculation of La7Ho4Mg after structural relaxation, from the Alexandria database.

POSCAR file:
```
La7Ho4Mg
1.0
-2.6298 3.5207 3.9418
1.9806 -0.4887 6.1693
6.6382 10.7639 -0.5364
Ho Mg La
4 1 7
Cartesian
2.8427 4.2153 2.6545
0.7440 4.1284 5.8274
5.2451 9.6675 3.7474
3.1464 9.5807 6.9202
-2.6298 3.5207 3.9418
-1.3149 1.7603 1.9709
4.9580 12.2484 5.6279
4.5652 8.2326 0.2170
3.6070 5.9556 6.0320
1.0310 1.5476 3.9468
2.3821 7.8403 3.5427
1.4239 5.5633 9.3577
```

=====

2.
The following is a PBE calculation of Ca5HoMg4 after structural relaxation, from the Alexandria database.

POSCAR file:
```
Ca5HoMg4
1.0
3.8132 0.0000 0.0000
0.0000 3.8132 0.0000
0.0000 0.0000 22.0991
Ca Mg Ho
5 4 1
Cartesian
1.9066 1.9066 15.2915
1.9066 1.9066 2.5481
1.9066 1.9066 6.8077
1.9066 1.9066 19.5511
1.9066 1.9066 11.0496
0.0000 0.0000 17.4320
0.0000 0.0000 13.1615
0.0000 0.0000 4.6671
0.0000 0.0000 8.9376
0.0000 0.0000 0.0000
```

=====

3.
The following is a PBE calculation of NdPd6Pt after structural relaxation, from the Alexandria database.

POSCAR file:
```
NdPd6Pt
1.0
5.4061 0.4196 0.4746
-0.1733 5.4196 0.4746
-0.1733 -0.1934 5.4369
Nd Pd Pt
1 6 1
Cartesian
0.0000 0.0000 0.0000
0.7874 2.9374 1.2482
2.2256 4.5423 5.1380
4.2721 4.7672 3.3179
2.8339 1.1035 1.2482
0.7874 0.8786 3.0683
4.2721 2.7084 5.1380
2.5297 2.8229 3.1931
```

=====

Looking at DFT formation energy for the records above, in order, we have 0.211, -0.013, 0.132 eV/atom.
Looking at magnetic moment for the records above, in order, we have 0.00, 0.11, 0.00 μB/atom.
Looking at uncorrected energy for the records above, in order, we have -4.32, -2.11, -5.11 eV/atom.